First-principles (GGA-PBE) data for crystalline PdF2 at its relaxed geometry, as listed in OQMD.

POSCAR file:
```
PdF2
1.0
4.8575 0.0000 0.0000
0.0000 5.4282 0.0000
0.0000 0.0000 5.6414
Pd F
4 8
Cartesian
0.0000 0.0000 0.0000 Pd
0.0000 2.7141 2.8207 Pd
2.4287 0.0000 2.8207 Pd
2.4287 2.7141 0.0000 Pd
0.7979 0.9965 2.1004 F
0.7979 1.7176 4.9211 F
1.6308 3.7106 2.1004 F
1.6308 4.4317 4.9211 F
3.2266 0.9965 0.7202 F
3.2266 1.7176 3.5409 F
4.0596 3.7106 0.7202 F
4.0596 4.4317 3.5409 F
```

* uncorrected energy: -4.056 eV per atom

=====

First-principles (GGA-PBE) data for crystalline SrPrZnTe3 at its relaxed geometry, as listed in OQMD.

POSCAR file:
```
SrPrZnTe3
1.0
2.1696 -7.6972 0.0000
2.1696 7.6972 0.0000
0.0000 0.0000 11.6594
Sr Pr Zn Te
2 2 2 6
Cartesian
2.1696 4.0176 8.7445 Sr
2.1696 -4.0176 2.9148 Sr
0.0000 0.0000 0.0000 Pr
0.0000 0.0000 5.8297 Pr
2.1696 0.4610 2.9148 Zn
2.1696 -0.4610 8.7445 Zn
2.1696 6.3615 2.9148 Te
2.1696 2.2391 0.8226 Te
2.1696 2.2391 5.0071 Te
2.1696 -2.2391 6.6523 Te
2.1696 -2.2391 10.8368 Te
2.1696 -6.3615 8.7445 Te
```

* uncorrected energy: -3.953 eV per atom
* spin magnetization: 0.3 μB/f.u.

=====

First-principles (GGA-PBE) data for crystalline NpUCoNi at its relaxed geometry, as listed in OQMD.

POSCAR file:
```
NpUCoNi
1.0
0.0000 3.1181 3.1181
3.1181 0.0000 3.1181
3.1181 3.1181 0.0000
Np U Co Ni
1 1 1 1
Cartesian
0.0000 0.0000 0.0000 Np
4.6771 4.6771 4.6771 U
3.1181 3.1181 3.1181 Co
1.5590 1.5590 1.5590 Ni
```

* uncorrected energy: -9.475 eV per atom
* spin magnetization: 3.8 μB/f.u.

=====

First-principles (GGA-PBE) data for crystalline RbLiNiMo at its relaxed geometry, as listed in OQMD.

POSCAR file:
```
RbLiNiMo
1.0
0.0000 3.5019 3.5019
3.5019 0.0000 3.5019
3.5019 3.5019 0.0000
Rb Li Ni Mo
1 1 1 1
Cartesian
0.0000 0.0000 0.0000 Rb
3.5019 3.5019 3.5019 Li
5.2529 5.2529 5.2529 Ni
1.7510 1.7510 1.7510 Mo
```

* offset from the most stable computed form: 259.8 meV/atom
* uncorrected energy: -3.209 eV per atom
* spin magnetization: 4.2 μB/f.u.

=====

First-principles (GGA-PBE) data for crystalline YZnCuOs at its relaxed geometry, as listed in OQMD.

POSCAR file:
```
YZnCuOs
1.0
0.0000 3.2506 3.2506
3.2506 0.0000 3.2506
3.2506 3.2506 0.0000
Y Zn Cu Os
1 1 1 1
Cartesian
0.0000 0.0000 0.0000 Y
1.6253 1.6253 1.6253 Zn
3.2506 3.2506 3.2506 Cu
4.8759 4.8759 4.8759 Os
```

* offset from the most stable computed form: 146.0 meV/atom
* uncorrected energy: -5.414 eV per atom
* spin magnetization: 0.0 μB/f.u.

=====

First-principles (GGA-PBE) data for crystalline PuTl2F6 at its relaxed geometry, as listed in OQMD.

POSCAR file:
```
PuTl2F6
1.0
5.5817 0.0000 0.0000
0.0000 5.5817 0.0000
0.0000 0.0000 12.0191
Pu Tl F
2 4 12
Cartesian
0.0000 0.0000 0.0000 Pu
2.7909 2.7909 6.0096 Pu
0.0000 0.0000 3.9739 Tl
0.0000 0.0000 8.0453 Tl
2.7909 2.7909 2.0357 Tl
2.7909 2.7909 9.9834 Tl
1.0080 1.0080 1.6002 F
1.0080 1.0080 10.4189 F
1.2620 1.2620 6.0096 F
1.5288 4.0529 0.0000 F
1.7829 3.7988 4.4094 F
1.7829 3.7988 7.6098 F
3.7988 1.7829 4.4094 F
3.7988 1.7829 7.6098 F
4.0529 1.5288 0.0000 F
4.3197 4.3197 6.0096 F
4.5738 4.5738 1.6002 F
4.5738 4.5738 10.4189 F
```

* uncorrected energy: -6.108 eV per atom
* spin magnetization: 4.0 μB/f.u.

=====

First-principles (GGA-PBE) data for crystalline ErZr at its relaxed geometry, as listed in OQMD.

POSCAR file:
```
ErZr
1.0
5.2992 0.0000 0.0000
0.0000 6.8647 0.0000
0.0000 0.0000 5.8584
Er Zr
4 4
Cartesian
0.0000 0.0000 0.0000 Er
0.0000 1.8131 3.0392 Er
0.0000 5.0516 3.0392 Er
2.6496 0.0000 2.0756 Er
0.0000 3.4323 0.1379 Zr
2.6496 1.8979 5.0051 Zr
2.6496 3.4323 1.9050 Zr
2.6496 4.9668 5.0051 Zr
```

* uncorrected energy: -6.513 eV per atom
* spin magnetization: 0.0 μB/f.u.

=====

First-principles (GGA-PBE) data for crystalline ScCuTeOs at its relaxed geometry, as listed in OQMD.

POSCAR file:
```
ScCuTeOs
1.0
0.0000 3.2350 3.2350
3.2350 0.0000 3.2350
3.2350 3.2350 0.0000
Sc Cu Te Os
1 1 1 1
Cartesian
0.0000 0.0000 0.0000 Sc
1.6175 1.6175 1.6175 Cu
4.8525 4.8525 4.8525 Te
3.2350 3.2350 3.2350 Os
```

* offset from the most stable computed form: 15.2 meV/atom
* uncorrected energy: -6.060 eV per atom
* spin magnetization: 0.0 μB/f.u.